Entry from Alexandria: crystalline MoCO2F at its relaxed geometry (PBE+U).

Calculated values
calculated volume = 12.8 Å³/atom
E_tot = -5.5313 eV per atom
spin magnetization = 3.0 μB per formula unit
calculated density = 4115 kg/m3

The structure in extended XYZ format:
```
5
Lattice="3.929 0.000 0.000 0.000 3.929 0.000 0.000 0.000 4.155" Properties=species:S:1:pos:R:3 pbc="T T T"
Mo 0.000 0.000 0.000
C 1.964 1.964 2.077
O 0.000 1.964 0.000
O 1.964 0.000 0.000
F 0.000 0.000 2.077
```